Entry 1:
First-principles (GGA-PBE) data for BaLaIn after structural relaxation, as listed in Alexandria via LeMat-Bulk.

a = 7.041 Å, b = 3.836 Å, c = 9.412 Å
α = 90.00°, β = 71.60°, γ = 105.86°
Fractional positions:
La 0.316 0.152 0.599
La 0.842 0.914 0.634
Ba 0.375 0.181 0.006
Ba 0.782 0.885 0.227
In 0.175 0.582 0.352
In 0.982 0.485 0.881

Properties
ΔE_f (meV/atom): -278
Spin magnetization (Bohr magnetons per cell): 0.0
Energy relative to the lowest polymorph listed for this composition (meV/atom): 44



Entry 2:
First-principles (GGA-PBE) data for NdErBiSe after structural relaxation, as listed in Alexandria via LeMat-Bulk.

a = 4.226 Å, b = 4.226 Å, c = 7.992 Å
α = 90.00°, β = 105.33°, γ = 120.00°
Last column: magnetic moment on the atom in μB.
Fractional positions:
Nd 0.973 0.385 0.373  0.22
Er 0.298 0.547 0.861  0.05
Bi 0.126 0.961 0.102  0.00
Se 0.481 0.138 0.634  0.00

Properties
Spin magnetization (Bohr magnetons per cell): 0.6
E_form (uncorrected) (eV per atom): -1.211



Entry 3:
First-principles (GGA-PBE) data for Cu5Te3 after structural relaxation, as listed in Alexandria via LeMat-Bulk.

a = 3.727 Å, b = 3.727 Å, c = 10.732 Å
α = 90.00°, β = 90.00°, γ = 90.00°
Fractional positions:
Cu 0.000 0.000 0.000
Cu 0.000 0.000 0.241
Cu 0.000 0.000 0.759
Cu 0.500 0.500 0.388
Cu 0.500 0.500 0.612
Te 0.000 0.000 0.500
Te 0.500 0.500 0.156
Te 0.500 0.500 0.844

Properties
Spin magnetization (Bohr magnetons per cell): 0.0
Energy relative to the lowest polymorph listed for this composition (meV/atom): 106
E_form (uncorrected) (eV per atom): 0.177



Entry 4:
First-principles (GGA-PBE) data for Y3TiOs after structural relaxation, as listed in Alexandria via LeMat-Bulk.

a = 5.084 Å, b = 5.084 Å, c = 5.084 Å
α = 90.00°, β = 90.00°, γ = 90.00°
Last column: magnetic moment on the atom in μB.
Fractional positions:
Y 0.000 0.500 0.000  0.00
Y 0.000 0.000 0.500  0.00
Y 0.500 0.000 0.000  -0.01
Os 0.500 0.500 0.500  1.19
Ti 0.000 0.000 0.000  0.21

Properties
ΔE_f (meV/atom): 1257
Spin magnetization (Bohr magnetons per cell): 1.4
Energy relative to the lowest polymorph listed for this composition (meV/atom): 901



Entry 5:
First-principles (GGA-PBE) data for ZrAlSiOs2 after structural relaxation, as listed in Alexandria via LeMat-Bulk.

a = 4.416 Å, b = 4.898 Å, c = 4.416 Å
α = 90.00°, β = 90.00°, γ = 90.00°
Fractional positions:
Si 0.500 0.500 0.500
Os 0.000 0.000 0.500
Os 0.500 0.000 0.000
Al 0.000 0.000 0.000
Zr 0.000 0.500 0.000

Properties
Spin magnetization (Bohr magnetons per cell): 0.0
E_form (uncorrected) (eV per atom): 1.247



Entry 6:
First-principles (GGA-PBE) data for NiIr2Os after structural relaxation, as listed in Alexandria via LeMat-Bulk.

a = 4.113 Å, b = 4.113 Å, c = 4.690 Å
α = 63.99°, β = 63.99°, γ = 60.00°
Fractional positions:
Ni 0.695 0.695 0.916
Ir 0.053 0.053 0.840
Ir 0.269 0.269 0.193
Os 0.483 0.483 0.551

Properties
ΔE_f (meV/atom): 399
Spin magnetization (Bohr magnetons per cell): 0.0
Energy relative to the lowest polymorph listed for this composition (meV/atom): 394